Compound: ScAlPt
Source: the Alexandria database
Functional: GGA-PBE
Structure: optimized geometry

Results
- total energy (eV per cell) = -18.804
- space-group type = I4mm (107)
- energy relative to the elements (eV/atom) = -0.896
- spin magnetization (Bohr magnetons per cell) = 0.000

```
3
Lattice="5.5852 -0.0735 0.0799 4.7015 3.0161 0.0764 0.8837 0.2563 3.0789" Properties=species:S:1:pos:R:3 pbc="T T T"
Pt 4.1622 1.1930 2.0599
Sc 7.2275 2.0687 1.1071
Al 10.0673 2.8799 0.2245
```